(1)
First-principles (PBE) data for a relaxed ZnCo2Pb crystal, as listed in the Alexandria database.

Unit cell a=3.159 b=3.158 c=5.873 alpha=90.00 beta=90.00 gamma=90.00
Fractional coordinates of all 4 atoms:
Co 0.000 0.000 0.973
Co 0.000 0.000 0.527
Pb 0.500 0.500 0.250
Zn 0.500 0.500 0.750

Computed properties:
SG: No. 123
Total DFT energy (no corrections), eV/atom: -4.427
Total magnetic moment, μB/cell: 0.8
ΔE_f, eV per formula unit: 1.49

(2)
First-principles (PBE) data for a relaxed Zr4CoPb crystal, as listed in the Alexandria database.

Unit cell a=5.716 b=5.716 c=5.716 alpha=60.00 beta=60.00 gamma=60.00
Fractional coordinates of all 6 atoms:
Zr 0.873 0.376 0.376
Zr 0.376 0.376 0.873
Zr 0.376 0.873 0.376
Zr 0.376 0.376 0.376
Co 0.750 0.750 0.750
Pb 0.000 0.000 0.000

Computed properties:
SG: No. 216
Total DFT energy (no corrections), eV/atom: -7.012
Total magnetic moment, μB/cell: 0.9
ΔE_f, eV per formula unit: 2.94

(3)
First-principles (PBE) data for a relaxed ZrCo2Pb crystal, as listed in the Alexandria database.

Unit cell a=4.589 b=4.589 c=4.589 alpha=60.00 beta=60.00 gamma=60.00
Fractional coordinates of all 4 atoms:
Co 0.000 0.000 0.000
Co 0.250 0.250 0.250
Pb 0.500 0.500 0.500
Zr 0.750 0.750 0.750

Computed properties:
SG: No. 216
Total DFT energy (no corrections), eV/atom: -6.291
Total magnetic moment, μB/cell: 2.2
ΔE_f, eV per formula unit: 1.30

(4)
First-principles (PBE) data for a relaxed ZrCoPb2 crystal, as listed in the Alexandria database.

Unit cell a=9.074 b=9.074 c=9.074 alpha=22.35 beta=22.35 gamma=22.35
Fractional coordinates of all 4 atoms:
Co 0.757 0.757 0.757
Pb 0.019 0.019 0.019
Pb 0.245 0.245 0.245
Zr 0.479 0.479 0.479

Computed properties:
SG: No. 160
Total DFT energy (no corrections), eV/atom: -5.636
Total magnetic moment, μB/cell: 0.0
ΔE_f, eV per formula unit: 0.53

(5)
First-principles (PBE) data for a relaxed ZrCoPb2 crystal, as listed in the Alexandria database.

Unit cell a=4.336 b=4.336 c=10.567 alpha=78.16 beta=78.16 gamma=90.00
Fractional coordinates of all 8 atoms:
Pb 0.614 0.125 0.250
Pb 0.136 0.625 0.250
Pb 0.375 0.386 0.750
Pb 0.875 0.864 0.750
Co 0.500 0.500 0.000
Co 0.250 0.750 0.500
Zr 0.000 0.000 0.000
Zr 0.750 0.250 0.500

Computed properties:
SG: No. 122
Total DFT energy (no corrections), eV/atom: -5.245
Total magnetic moment, μB/cell: 1.9
ΔE_f, eV per formula unit: 2.09

(6)
First-principles (PBE) data for a relaxed ZrCoPb2 crystal, as listed in the Alexandria database.

Unit cell a=6.298 b=6.298 c=4.863 alpha=69.82 beta=69.82 gamma=30.23
Fractional coordinates of all 4 atoms:
Co 0.230 0.230 0.292
Pb 0.960 0.960 0.021
Pb 0.747 0.747 0.762
Zr 0.562 0.562 0.426

Computed properties:
SG: No. 8
Total DFT energy (no corrections), eV/atom: -5.598
Total magnetic moment, μB/cell: 0.0
ΔE_f, eV per formula unit: 0.68

(7)
First-principles (PBE) data for a relaxed Zr3CoPb crystal, as listed in the Alexandria database.

Unit cell a=4.862 b=4.862 c=4.862 alpha=90.00 beta=90.00 gamma=90.00
Fractional coordinates of all 5 atoms:
Pb 0.500 0.500 0.500
Co 0.000 0.000 0.000
Zr 0.000 0.500 0.000
Zr 0.000 0.000 0.500
Zr 0.500 0.000 0.000

Computed properties:
SG: No. 221
Total DFT energy (no corrections), eV/atom: -7.337
Total magnetic moment, μB/cell: 0.0
ΔE_f, eV per formula unit: -0.23

(8)
First-principles (PBE) data for a relaxed ZrCoPb2 crystal, as listed in the Alexandria database.

Unit cell a=5.484 b=5.484 c=5.484 alpha=132.49 beta=132.49 gamma=69.46
Fractional coordinates of all 4 atoms:
Co 0.750 0.250 0.500
Pb 0.000 0.000 0.000
Pb 0.500 0.500 0.000
Zr 0.250 0.750 0.500

Computed properties:
SG: No. 139
Total DFT energy (no corrections), eV/atom: -5.395
Total magnetic moment, μB/cell: 2.4
ΔE_f, eV per formula unit: 1.49

(9)
First-principles (PBE) data for a relaxed ZrCo2Pb crystal, as listed in the Alexandria database.

Unit cell a=5.228 b=5.228 c=5.228 alpha=136.89 beta=136.89 gamma=62.61
Fractional coordinates of all 4 atoms:
Co 0.000 0.000 0.000
Co 0.250 0.750 0.500
Pb 0.500 0.500 0.000
Zr 0.750 0.250 0.500

Computed properties:
SG: No. 119
Total DFT energy (no corrections), eV/atom: -6.482
Total magnetic moment, μB/cell: 0.2
ΔE_f, eV per formula unit: 0.54

(10)
First-principles (PBE) data for a relaxed ZrCoPb2 crystal, as listed in the Alexandria database.

Unit cell a=3.302 b=3.302 c=7.608 alpha=90.00 beta=90.00 gamma=90.00
Fractional coordinates of all 4 atoms:
Co 0.500 0.500 0.750
Pb 0.000 0.000 0.965
Pb 0.000 0.000 0.535
Zr 0.500 0.500 0.250

Computed properties:
SG: No. 123
Total DFT energy (no corrections), eV/atom: -5.506
Total magnetic moment, μB/cell: 0.6
ΔE_f, eV per formula unit: 1.05

(11)
First-principles (PBE) data for a relaxed ZrCoPb2 crystal, as listed in the Alexandria database.

Unit cell a=5.021 b=5.021 c=5.021 alpha=60.00 beta=60.00 gamma=60.00
Fractional coordinates of all 4 atoms:
Co 0.500 0.500 0.500
Pb 0.000 0.000 0.000
Pb 0.750 0.750 0.750
Zr 0.250 0.250 0.250

Computed properties:
SG: No. 216
Total DFT energy (no corrections), eV/atom: -5.330
Total magnetic moment, μB/cell: 1.0
ΔE_f, eV per formula unit: 1.75

(12)
First-principles (PBE) data for a relaxed Zr2Co2Pb crystal, as listed in the Alexandria database.

Unit cell a=4.431 b=4.431 c=5.832 alpha=67.67 beta=67.67 gamma=90.00
Fractional coordinates of all 5 atoms:
Pb 0.000 0.000 0.000
Co 0.387 0.387 0.226
Co 0.613 0.613 0.774
Zr 0.750 0.250 0.500
Zr 0.250 0.750 0.500

Computed properties:
SG: No. 139
Total DFT energy (no corrections), eV/atom: -7.051
Total magnetic moment, μB/cell: 0.0
ΔE_f, eV per formula unit: -0.24

(13)
First-principles (PBE) data for a relaxed Zr2CoPb crystal, as listed in the Alexandria database.

Unit cell a=3.966 b=3.848 c=5.774 alpha=70.61 beta=90.00 gamma=90.00
Fractional coordinates of all 4 atoms:
Co 0.000 0.727 0.422
Pb 0.500 0.552 0.772
Zr 0.000 0.953 0.969
Zr 0.500 0.268 0.338

Computed properties:
SG: No. 6
Total DFT energy (no corrections), eV/atom: -7.082
Total magnetic moment, μB/cell: 0.0
ΔE_f, eV per formula unit: -0.42

(14)
First-principles (PBE) data for a relaxed Zr2CoPb2 crystal, as listed in the Alexandria database.

Unit cell a=6.841 b=6.841 c=4.662 alpha=90.00 beta=90.00 gamma=90.00
Fractional coordinates of all 10 atoms:
Pb 0.347 0.847 0.000
Pb 0.847 0.653 0.000
Pb 0.653 0.153 0.000
Pb 0.153 0.347 0.000
Co 0.000 0.000 0.000
Co 0.500 0.500 0.000
Zr 0.162 0.662 0.500
Zr 0.662 0.838 0.500
Zr 0.838 0.338 0.500
Zr 0.338 0.162 0.500

Computed properties:
SG: No. 127
Total DFT energy (no corrections), eV/atom: -6.200
Total magnetic moment, μB/cell: 0.8
ΔE_f, eV per formula unit: 0.62

(15)
First-principles (PBE) data for a relaxed ZrCo2Pb crystal, as listed in the Alexandria database.

Unit cell a=7.003 b=7.003 c=5.762 alpha=52.57 beta=52.57 gamma=90.00
Fractional coordinates of all 8 atoms:
Pb 0.000 0.000 0.000
Pb 0.750 0.250 0.500
Co 0.607 0.125 0.250
Co 0.143 0.625 0.250
Co 0.375 0.393 0.750
Co 0.875 0.857 0.750
Zr 0.500 0.500 0.000
Zr 0.250 0.750 0.500

Computed properties:
SG: No. 122
Total DFT energy (no corrections), eV/atom: -6.156
Total magnetic moment, μB/cell: 0.0
ΔE_f, eV per formula unit: 1.84

(16)
First-principles (PBE) data for a relaxed ZrCoPb2 crystal, as listed in the Alexandria database.

Unit cell a=5.759 b=5.759 c=5.759 alpha=147.03 beta=123.28 gamma=67.19
Fractional coordinates of all 4 atoms:
Co 0.250 0.750 0.500
Pb 0.034 0.034 0.000
Pb 0.466 0.466 0.000
Zr 0.750 0.250 0.500

Computed properties:
SG: No. 71
Total DFT energy (no corrections), eV/atom: -5.511
Total magnetic moment, μB/cell: 0.0
ΔE_f, eV per formula unit: 1.03

(17)
First-principles (PBE) data for a relaxed Zr2CoPb crystal, as listed in the Alexandria database.

Unit cell a=5.056 b=5.056 c=3.321 alpha=89.96 beta=89.96 gamma=108.12
Fractional coordinates of all 4 atoms:
Co 0.500 0.000 0.500
Pb 0.000 0.500 0.500
Zr 0.000 0.000 0.000
Zr 0.500 0.500 0.000

Computed properties:
SG: No. 65
Total DFT energy (no corrections), eV/atom: -6.955
Total magnetic moment, μB/cell: 1.4
ΔE_f, eV per formula unit: 0.09

(18)
First-principles (PBE) data for a relaxed ZrCoPb2 crystal, as listed in the Alexandria database.

Unit cell a=7.636 b=4.554 c=4.123 alpha=89.84 beta=57.55 gamma=126.55
Fractional coordinates of all 4 atoms:
Co 0.500 0.500 0.000
Pb 0.000 0.000 0.000
Pb 0.500 0.000 0.500
Zr 0.000 0.500 0.500

Computed properties:
SG: No. 12
Total DFT energy (no corrections), eV/atom: -5.499
Total magnetic moment, μB/cell: 1.3
ΔE_f, eV per formula unit: 1.07

(19)
First-principles (PBE) data for a relaxed ZrCoPb2 crystal, as listed in the Alexandria database.

Unit cell a=4.955 b=4.955 c=4.955 alpha=60.00 beta=60.00 gamma=60.00
Fractional coordinates of all 4 atoms:
Pb 0.250 0.250 0.250
Pb 0.750 0.750 0.750
Co 0.000 0.000 0.000
Zr 0.500 0.500 0.500

Computed properties:
SG: No. 225
Total DFT energy (no corrections), eV/atom: -5.364
Total magnetic moment, μB/cell: 1.6
ΔE_f, eV per formula unit: 1.61

(20)
First-principles (PBE) data for a relaxed ZrCo3Pb crystal, as listed in the Alexandria database.

Unit cell a=4.657 b=4.657 c=4.657 alpha=90.00 beta=90.00 gamma=90.00
Fractional coordinates of all 5 atoms:
Pb 0.500 0.500 0.500
Co 0.000 0.500 0.000
Co 0.000 0.000 0.500
Co 0.500 0.000 0.000
Zr 0.000 0.000 0.000

Computed properties:
SG: No. 221
Total DFT energy (no corrections), eV/atom: -5.507
Total magnetic moment, μB/cell: 2.3
ΔE_f, eV per formula unit: 6.04